## NaGaNiF6 (PBE with a Hubbard U)

Data for a geometry-optimized NaGaNiF6 structure.

Properties
Uncorrected energy ... -81.8 eV per cell
Size of the total moment ... 4.2 μB/cell
Calculated volume ... 219 Å³ per cell
Space group ... P4_2nm
Crystal system ... tetragonal

Unit cell a=4.826 b=4.826 c=9.422 alpha=90.00 beta=90.00 gamma=90.00
Fractional positions:
Na (0.500, 0.500, 0.499)
Na (0.000, 0.000, 0.999)
Ga (0.000, 0.000, 0.333)
Ga (0.500, 0.500, 0.833)
Ni (0.000, 0.000, 0.669)
Ni (0.500, 0.500, 0.169)
F (0.178, 0.822, 0.493)
F (0.702, 0.702, 0.688)
F (0.822, 0.178, 0.493)
F (0.298, 0.298, 0.688)
F (0.217, 0.783, 0.819)
F (0.322, 0.322, 0.993)
F (0.283, 0.283, 0.319)
F (0.798, 0.202, 0.188)
F (0.717, 0.717, 0.319)
F (0.783, 0.217, 0.819)
F (0.202, 0.798, 0.188)
F (0.678, 0.678, 0.993)